(1)
Entry from Alexandria via LeMat-Bulk: MgNb2Mo after structural relaxation (PBE).

a b c (Å): 3.293 3.293 6.719
angles (deg): 90.00 90.00 90.00
Element x y z (fractional)
Mg 0.500 0.500 0.500
Mo 0.500 0.500 0.000
Nb 0.000 0.000 0.778
Nb 0.000 0.000 0.222

Calculated values
Crystal system   tetragonal
Volume   73 Å³/f.u.
Space-group type   P4/mmm
Energy of formation   0.12 eV per atom



(2)
Entry from Alexandria via LeMat-Bulk: BeZn2Cl after structural relaxation (PBE).

a b c (Å): 5.992 5.992 5.992
angles (deg): 145.27 145.27 49.93
Element x y z (fractional)
Be 0.250 0.750 0.500
Zn 0.000 0.000 0.000
Zn 0.500 0.500 0.000
Cl 0.750 0.250 0.500

Calculated values
Distance to the lowest polymorph of the same formula   0.4777 eV per atom
Crystal system   tetragonal
Formation energy from raw total energies   1.5 eV per formula unit
Volume   69 Å³/f.u.
Space-group type   I4/mmm